No. 1
Computed, not measured: CaTc2Pb at its PBEsol-relaxed geometry at the meta-GGA SCAN level of DFT.

```
CaTc2Pb
1.0
4.1339 0.0000 0.0000
2.0669 3.5801 0.0000
2.0669 1.1934 6.2485
Tc Pb Ca
2 1 1
direct
0.0283 0.0283 0.9151
0.7102 0.7102 0.8695
0.2770 0.2770 0.1690
0.4878 0.4878 0.5367
```

Calculated values
For the volume, the calculation gives 23.1 A^3/atom. For the formation energy, the calculation gives 0.121 eV/atom. As for the total moment: 0.000 Bohr magnetons per cell.

No. 2
Computed, not measured: CuTe2PPt at its PBEsol-relaxed geometry at the meta-GGA SCAN level of DFT.

```
CuTe2PPt
1.0
4.2709 0.0000 0.0000
0.0000 5.4979 0.0000
0.0000 0.0000 5.4979
Te Cu P Pt
2 1 1 1
direct
0.0000 0.0000 0.5000
0.0000 0.5000 0.0000
0.5000 0.5000 0.5000
0.5000 0.0000 0.0000
0.0000 0.0000 0.0000
```

Calculated values
For the volume, the calculation gives 25.8 A^3/atom. As for the total moment: 0.001 Bohr magnetons per cell. As for the uncorrected formation energy: 0.64 eV/atom.

No. 3
Computed, not measured: BeTcOs2 at its PBEsol-relaxed geometry at the meta-GGA SCAN level of DFT.

```
BeTcOs2
1.0
2.7102 0.0000 0.0000
0.0000 3.7915 0.0000
0.0000 0.0000 5.0357
Os Tc Be
2 1 1
direct
0.5000 0.5000 0.2554
0.0000 0.0000 0.9776
0.0000 0.0000 0.5115
0.5000 0.5000 0.7556
```

Calculated values
For the volume, the calculation gives 12.9 A^3/atom. For the formation energy, the calculation gives 0.003 eV/atom. As for the total moment: 0.000 Bohr magnetons per cell.

No. 4
Computed, not measured: CoCuOs at its PBEsol-relaxed geometry at the meta-GGA SCAN level of DFT.

```
CoCuOs
1.0
2.5698 0.0000 0.0000
0.0000 3.6149 0.0000
-1.2849 -1.8075 3.8161
Cu Os Co
1 1 1
direct
0.6657 0.6657 0.3313
0.3379 0.3379 0.6757
0.9965 0.9965 0.9929
```

Calculated values
For the volume, the calculation gives 11.8 A^3/atom. For the formation energy, the calculation gives 0.394 eV/atom. As for the total moment: 0.000 Bohr magnetons per cell.

No. 5
Computed, not measured: LiFeF3 at its PBEsol-relaxed geometry at the meta-GGA SCAN level of DFT.

```
LiFeF3
1.0
-4.1132 -0.0301 2.2921
1.7257 -3.5507 3.0502
0.6204 4.8084 1.1763
Li F Fe
2 6 2
direct
0.2500 0.4998 0.5002
0.7500 0.5002 0.4998
0.0000 0.1839 0.1839
0.5001 0.1830 0.4998
0.0001 0.8170 0.5002
0.9999 0.5002 0.8170
0.4999 0.4998 0.1830
0.5000 0.8161 0.8161
0.2500 0.8334 0.1666
0.7500 0.1666 0.8334
```

Calculated values
For the volume, the calculation gives 10.2 A^3/atom. As for the energy above the lowest structure with this stoichiometry: 0.000 eV per atom. As for the total moment: 8.000 Bohr magnetons per cell. As for the uncorrected formation energy: -2.62 eV/atom.

No. 6
Computed, not measured: LiCdSb2 at its PBEsol-relaxed geometry at the meta-GGA SCAN level of DFT.

```
LiCdSb2
1.0
4.2337 0.0000 0.0000
0.0000 4.6576 0.0000
0.0000 0.0000 4.6591
Li Sb Cd
1 2 1
direct
0.5000 0.0000 0.5000
0.0000 0.0000 0.0000
0.0000 0.5000 0.5000
0.5000 0.5000 0.0000
```

Calculated values
For the volume, the calculation gives 23.0 A^3/atom. As for the total moment: 0.000 Bohr magnetons per cell. As for the uncorrected formation energy: -0.15 eV/atom.

No. 7
Computed, not measured: BaTl2Hg at its PBEsol-relaxed geometry at the meta-GGA SCAN level of DFT.

```
BaTl2Hg
1.0
5.5044 0.0000 0.0000
-2.7522 4.7611 0.1353
0.0000 3.0518 4.5810
Hg Tl Ba
1 2 1
direct
0.0000 0.0000 0.0000
0.7500 0.5000 0.7500
0.2500 0.5000 0.2500
0.5000 0.0000 0.5000
```

Calculated values
For the volume, the calculation gives 29.4 A^3/atom. As for the energy above the lowest structure with this stoichiometry: 0.079 eV per atom. For the formation energy, the calculation gives -0.358 eV/atom. As for the total moment: 0.000 Bohr magnetons per cell.

No. 8
Computed, not measured: SiMoN2F at its PBEsol-relaxed geometry at the meta-GGA SCAN level of DFT.

```
SiMoN2F
1.0
-1.6770 2.0158 -2.2015
-3.1767 -0.7733 1.7117
0.5106 2.8810 2.2491
Si F N Mo
1 1 2 1
direct
0.0000 0.0000 0.0000
0.5000 0.0000 0.0000
0.0000 0.0000 0.5000
0.0000 0.5000 0.0000
0.5000 0.5000 0.5000
```

Calculated values
For the volume, the calculation gives 9.3 A^3/atom. As for the total moment: 2.962 Bohr magnetons per cell. As for the uncorrected formation energy: -0.31 eV/atom.

No. 9
Computed, not measured: Al2ZnCr at its PBEsol-relaxed geometry at the meta-GGA SCAN level of DFT.

```
Al2ZnCr
1.0
-0.6516 -2.3458 -0.9962
4.2631 -0.6851 -1.1750
0.8181 -1.9775 4.1213
Al Cr Zn
2 1 1
direct
0.0000 0.5000 0.6943
0.0000 0.0000 0.0487
0.5000 0.0000 0.5454
0.5000 0.5000 0.2116
```

Calculated values
For the volume, the calculation gives 13.7 A^3/atom. For the formation energy, the calculation gives -0.045 eV/atom. As for the total moment: 1.188 Bohr magnetons per cell.

No. 10
Computed, not measured: CsGaSeN2 at its PBEsol-relaxed geometry at the meta-GGA SCAN level of DFT.

```
CsGaSeN2
1.0
-3.9148 0.6361 -1.5932
-0.8575 -4.1636 0.4446
-2.4097 1.1787 6.3915
N Cs Se Ga
2 1 1 1
direct
0.0000 0.5000 0.0000
0.5000 0.0000 0.0000
0.0000 0.0000 0.0000
0.0000 0.0000 0.5000
0.5000 0.5000 0.5000
```

Calculated values
For the volume, the calculation gives 25.3 A^3/atom. As for the total moment: 1.948 Bohr magnetons per cell. As for the uncorrected formation energy: 2.19 eV/atom.

No. 11
Computed, not measured: ErB4Ir4 at its PBEsol-relaxed geometry at the meta-GGA SCAN level of DFT.

```
ErB4Ir4
1.0
-0.1924 -4.5635 2.7838
4.1123 -1.9061 -2.8405
4.7169 2.8146 4.9400
B Ir Er
8 8 2
direct
0.0000 0.3272 0.6533
0.3272 0.0000 0.3467
0.0000 0.6728 0.6533
0.8272 0.5000 0.1533
0.6728 0.0000 0.3467
0.5000 0.1728 0.8467
0.5000 0.8272 0.8467
0.1728 0.5000 0.1533
0.0000 0.7511 0.3557
0.2489 0.0000 0.6443
0.5000 0.7489 0.1443
0.5000 0.2511 0.1443
0.7511 0.0000 0.6443
0.7489 0.5000 0.8557
0.2511 0.5000 0.8557
0.0000 0.2489 0.3557
0.0000 0.0000 0.0000
0.5000 0.5000 0.5000
```

Calculated values
For the volume, the calculation gives 11.7 A^3/atom. For the formation energy, the calculation gives -0.589 eV/atom. As for the total moment: 0.000 Bohr magnetons per cell.

No. 12
Computed, not measured: NaTiCdF2 at its PBEsol-relaxed geometry at the meta-GGA SCAN level of DFT.

```
NaTiCdF2
1.0
4.1365 0.0000 0.0000
0.0000 4.1365 0.0000
0.0000 0.0000 5.3552
F Cd Na Ti
2 1 1 1
direct
0.0000 0.5000 0.0000
0.5000 0.0000 0.0000
0.5000 0.5000 0.5000
0.0000 0.0000 0.0000
0.0000 0.0000 0.5000
```

Calculated values
For the volume, the calculation gives 18.3 A^3/atom. As for the total moment: 2.704 Bohr magnetons per cell. As for the uncorrected formation energy: -0.87 eV/atom.

No. 13
Computed, not measured: Ag3Pt5 at its PBEsol-relaxed geometry at the meta-GGA SCAN level of DFT.

```
Ag3Pt5
1.0
-1.6924 0.7147 2.0661
-0.6710 -5.4012 1.3187
6.5608 3.1355 4.2895
Ag Pt
3 5
direct
0.5000 0.6266 0.7543
0.5000 0.8723 0.2457
0.0000 0.9960 0.0000
0.0000 0.4798 0.0000
0.5000 0.1277 0.7417
0.0000 0.7582 0.5049
0.0000 0.2533 0.4951
0.5000 0.3860 0.2583
```

Calculated values
For the volume, the calculation gives 15.4 A^3/atom. As for the energy above the lowest structure with this stoichiometry: 0.000 eV per atom. For the formation energy, the calculation gives -0.001 eV/atom. As for the total moment: 0.006 Bohr magnetons per cell.

No. 14
Computed, not measured: GaFeI2O at its PBEsol-relaxed geometry at the meta-GGA SCAN level of DFT.

```
GaFeI2O
1.0
-2.2711 0.7271 2.7343
-2.8113 -4.6722 -1.0926
3.3022 -2.8026 3.4881
Ga Fe O I
1 1 1 2
direct
0.5000 0.5000 0.5000
0.0000 0.0000 0.0000
0.5000 0.0000 0.0000
0.0000 0.0000 0.5000
0.0000 0.5000 0.0000
```

Calculated values
For the volume, the calculation gives 22.4 A^3/atom. As for the energy above the lowest structure with this stoichiometry: 0.000 eV per atom. As for the total moment: 4.180 Bohr magnetons per cell. As for the uncorrected formation energy: -0.41 eV/atom.

No. 15
Computed, not measured: HfReS2 at its PBEsol-relaxed geometry at the meta-GGA SCAN level of DFT.

```
HfReS2
1.0
-3.5211 0.7107 2.7335
-2.3261 -3.2077 -2.1623
5.4169 -3.5686 4.1783
S Re Hf
4 2 2
direct
0.6250 0.6567 0.7500
0.1250 0.0933 0.7500
0.3433 0.8750 0.2500
0.9067 0.3750 0.2500
0.0000 0.0000 0.0000
0.2500 0.7500 0.5000
0.5000 0.5000 0.0000
0.7500 0.2500 0.5000
```

Calculated values
For the volume, the calculation gives 17.9 A^3/atom. As for the total moment: 0.000 Bohr magnetons per cell. As for the uncorrected formation energy: -0.43 eV/atom.

No. 16
Computed, not measured: ZnSnN3 at its PBEsol-relaxed geometry at the meta-GGA SCAN level of DFT.

```
ZnSnN3
1.0
-3.1379 1.6864 -1.5327
-2.2398 -1.8018 2.6030
0.4198 2.9914 2.4319
N Sn Zn
3 1 1
direct
0.0000 0.5000 0.0000
0.5000 0.0000 0.0000
0.0000 0.0000 0.5000
0.5000 0.5000 0.5000
0.0000 0.0000 0.0000
```

Calculated values
For the volume, the calculation gives 11.7 A^3/atom. As for the total moment: 4.253 Bohr magnetons per cell. As for the uncorrected formation energy: 1.67 eV/atom.

No. 17
Computed, not measured: TiAl4Ni15 at its PBEsol-relaxed geometry at the meta-GGA SCAN level of DFT.

```
TiAl4Ni15
1.0
-0.1778 -0.6471 3.4643
-2.3902 -2.5269 -0.5947
12.8885 -11.8271 -1.5478
Ni Ti Al
15 1 4
direct
0.5000 0.5000 0.2008
0.5000 0.5000 0.4002
0.5000 0.0000 0.1012
0.0000 0.5000 0.8988
0.5000 0.5000 0.7992
0.0000 0.5000 0.5000
0.5000 0.5000 0.5998
0.5000 0.0000 0.5000
0.5000 0.0000 0.3004
0.0000 0.5000 0.1012
0.5000 0.0000 0.6996
0.5000 0.0000 0.8988
0.0000 0.5000 0.3004
0.0000 0.5000 0.6996
0.5000 0.5000 0.0000
0.0000 0.0000 0.0000
0.0000 0.0000 0.5999
0.0000 0.0000 0.2017
0.0000 0.0000 0.4001
0.0000 0.0000 0.7983
```

Calculated values
For the volume, the calculation gives 10.9 A^3/atom. For the formation energy, the calculation gives -0.492 eV/atom. As for the total moment: 3.680 Bohr magnetons per cell.

No. 18
Computed, not measured: Li3Au5 at its PBEsol-relaxed geometry at the meta-GGA SCAN level of DFT.

```
Li3Au5
1.0
5.1902 0.0000 0.0000
0.0000 7.3331 0.0000
0.0000 -3.6666 6.3507
Li Au
6 10
direct
0.7500 0.5965 0.0000
0.2500 0.5965 0.5965
0.7500 0.4035 0.4035
0.2500 0.0000 0.4035
0.2500 0.4035 0.0000
0.7500 0.0000 0.5965
0.7500 0.2293 0.0000
0.0000 0.6667 0.3333
0.2500 0.2293 0.2293
0.0000 0.3333 0.6667
0.5000 0.6667 0.3333
0.2500 0.7707 0.0000
0.2500 0.0000 0.7707
0.5000 0.3333 0.6667
0.7500 0.0000 0.2293
0.7500 0.7707 0.7707
```

Calculated values
For the volume, the calculation gives 15.1 A^3/atom. As for the energy above the lowest structure with this stoichiometry: 0.003 eV per atom. For the formation energy, the calculation gives -0.427 eV/atom. As for the total moment: 0.000 Bohr magnetons per cell.

No. 19
Computed, not measured: PrAs2Au at its PBEsol-relaxed geometry at the meta-GGA SCAN level of DFT.

```
PrAs2Au
1.0
4.0759 -0.0039 0.0000
-0.0003 4.0759 0.0000
0.0000 0.0000 20.4272
As Pr Au
8 4 4
direct
0.7347 0.2653 0.6606
0.7763 0.7763 0.0000
0.2237 0.2237 0.0000
0.7237 0.7237 0.5000
0.2653 0.7347 0.3394
0.7653 0.2347 0.1606
0.2763 0.2763 0.5000
0.2347 0.7653 0.8394
0.2351 0.7649 0.6182
0.7649 0.2351 0.3818
0.7351 0.2649 0.8818
0.2649 0.7351 0.1182
0.2322 0.2678 0.7500
0.7678 0.7322 0.2500
0.7322 0.7678 0.7500
0.2678 0.2322 0.2500
```

Calculated values
For the volume, the calculation gives 21.2 A^3/atom. For the formation energy, the calculation gives -0.886 eV/atom. As for the total moment: 0.000 Bohr magnetons per cell.

No. 20
Computed, not measured: AlSi2Tc at its PBEsol-relaxed geometry at the meta-GGA SCAN level of DFT.

```
AlSi2Tc
1.0
-3.4238 4.7202 -0.1245
1.1710 -2.6017 5.7749
3.7613 2.8193 3.4527
Si Tc Al
4 2 2
direct
0.0978 0.7500 0.8750
0.6522 0.7500 0.3750
0.8750 0.2500 0.6522
0.3750 0.2500 0.0978
0.0000 0.0000 0.0000
0.7500 0.5000 0.7500
0.5000 0.0000 0.5000
0.2500 0.5000 0.2500
```

Calculated values
For the volume, the calculation gives 21.0 A^3/atom. As for the total moment: 0.000 Bohr magnetons per cell. As for the uncorrected formation energy: 0.67 eV/atom.